Density functional theory data (PBE-GGA) for an optimized crystal structure of ZrTl2Cu2Se4.

a b c (Å): 3.9431 8.0416 7.4876
angles (deg): 107.73 105.27 90.00
Positions (direct):
Zr 0.0000 0.0000 0.0000
Tl 0.1390 0.5786 0.2781
Tl 0.8610 0.4214 0.7219
Cu 0.6809 0.9869 0.3618
Cu 0.3191 0.0131 0.6382
Se 0.1959 0.1821 0.3917
Se 0.8041 0.8179 0.6083
Se 0.5172 0.7741 0.0345
Se 0.4828 0.2259 0.9655

Computed properties:
- D(E_F) (states/eV/f.u.) = 0.56
- formation energy without anion corrections (eV per atom) = -0.664
- symmetry = C2/m, No. 12
- final energy (eV/atom) = -4.5982